SCAN TiAlIN2, PBEsol geometry; space group = P4/mmm, No. 123; ΔE_f (raw) = 0.395 eV per atom; magnetic moment = 0.174 μB/atom
1.0
3.958 0.000 0.000
0.000 3.958 0.000
0.000 0.000 5.555
I N Al Ti
1 2 1 1
Direct
0.000 0.000 0.500 I
0.000 0.500 0.000 N
0.500 0.000 0.000 N
0.500 0.500 0.500 Al
0.000 0.000 0.000 Ti

=====

SCAN AlWIN2, PBEsol geometry; space group = P4/mmm, No. 123; ΔE_f (raw) = 0.719 eV per atom; magnetic moment = 0.000 μB/atom
1.0
-3.702 -1.204 0.846
0.938 -3.695 -1.155
1.588 -1.225 5.208
I Al W N
1 1 1 2
Direct
0.000 0.000 0.500 I
0.500 0.500 0.500 Al
0.000 0.000 0.000 W
0.000 0.500 0.000 N
0.500 0.000 0.000 N

=====

SCAN Al2ZnIN, PBEsol geometry; space group = P4/mmm, No. 123; ΔE_f (raw) = 0.209 eV per atom; magnetic moment = 0.000 μB/atom
1.0
-3.425 -1.069 1.333
0.970 -3.674 -0.457
2.519 -0.127 6.372
I Zn Al N
1 1 2 1
Direct
0.000 0.000 0.500 I
0.500 0.500 0.500 Zn
0.000 0.500 0.000 Al
0.500 0.000 0.000 Al
0.000 0.000 0.000 N